## Mn2Zn (PBE)

Data for crystalline Mn2Zn at its relaxed geometry.

Output
Formation energy = 103 meV per atom
Space group = P-3m1

Cell: 2.5440 2.5440 6.2973 Å, 90.00 90.00 120.00°
With the nearest neighbours (Å) after each atom.
Fractional positions:
Mn (0.3333, 0.6667, 0.3541)  9 Mn 2.35-2.54
Mn (0.6667, 0.3333, 0.6459)  9 Mn 2.35-2.54
Zn (0.0000, 0.0000, 0.0000)  6 Zn 2.54, 6 Mn 2.67